Record 1
Density functional theory data (PBE) for a geometry-optimized Hf2Zn2Br structure.

Calculated values
- ΔE_f (raw) (eV per atom) = 0.466

```
data_Hf2Zn2Br
_chemical_formula_sum 'Hf4 Zn4 Br2'
_space_group_name_H-M_alt 'I 4/m m m'
_space_group_IT_number 139
_space_group_name_Hall '-I 4 2'
_cell_length_a 4.528
_cell_length_b 4.528
_cell_length_c 11.249
_cell_angle_alpha 90.00
_cell_angle_beta 90.00
_cell_angle_gamma 90.00
loop_
_atom_site_label
_atom_site_type_symbol
_atom_site_fract_x
_atom_site_fract_y
_atom_site_fract_z
Hf1 Hf 0.000 0.500 0.250
Zn1 Zn 0.000 0.000 0.108
Br1 Br 0.000 0.000 0.500
```

Record 2
Density functional theory data (PBE) for a geometry-optimized SrTcRu2 structure.

Calculated values
- E_form (eV per formula unit) = 3.74

```
data_SrTcRu2
_chemical_formula_sum 'Sr4 Tc4 Ru8'
_space_group_name_H-M_alt 'F -4 3 m'
_space_group_IT_number 216
_space_group_name_Hall 'F -4 2 3'
_cell_length_a 6.519
_cell_length_b 6.519
_cell_length_c 6.519
_cell_angle_alpha 90.00
_cell_angle_beta 90.00
_cell_angle_gamma 90.00
loop_
_atom_site_label
_atom_site_type_symbol
_atom_site_fract_x
_atom_site_fract_y
_atom_site_fract_z
Sr1 Sr 0.000 0.000 0.000
Tc1 Tc 0.250 0.250 0.750
Ru1 Ru 0.000 0.000 0.500
Ru2 Ru 0.250 0.250 0.250
```

Record 3
Density functional theory data (PBE) for a geometry-optimized BeFeCo2 structure.

Calculated values
- E_form (eV per formula unit) = -0.22

```
data_BeFeCo2
_chemical_formula_sum 'Be4 Fe4 Co8'
_space_group_name_H-M_alt 'F -4 3 m'
_space_group_IT_number 216
_space_group_name_Hall 'F -4 2 3'
_cell_length_a 5.474
_cell_length_b 5.474
_cell_length_c 5.474
_cell_angle_alpha 90.00
_cell_angle_beta 90.00
_cell_angle_gamma 90.00
loop_
_atom_site_label
_atom_site_type_symbol
_atom_site_fract_x
_atom_site_fract_y
_atom_site_fract_z
Be1 Be 0.000 0.000 0.000
Fe1 Fe 0.250 0.250 0.750
Co1 Co 0.000 0.000 0.500
Co2 Co 0.250 0.250 0.250
```

Record 4
Density functional theory data (PBE) for a geometry-optimized MoRu3 structure.

Calculated values
- E_form (eV per formula unit) = -0.12

```
data_MoRu3
_chemical_formula_sum 'Mo1 Ru3'
_space_group_name_H-M_alt 'P m m 2'
_space_group_IT_number 25
_space_group_name_Hall 'P 2 -2'
_cell_length_a 2.763
_cell_length_b 4.372
_cell_length_c 4.750
_cell_angle_alpha 90.00
_cell_angle_beta 90.00
_cell_angle_gamma 90.00
loop_
_atom_site_label
_atom_site_type_symbol
_atom_site_fract_x
_atom_site_fract_y
_atom_site_fract_z
Mo1 Mo 0.000 0.000 0.000
Ru1 Ru 0.000 0.500 0.336
Ru2 Ru 0.500 0.000 0.491
Ru3 Ru 0.500 0.500 0.831
```

Record 5
Density functional theory data (PBE) for a geometry-optimized TaCuRh3 structure.

Calculated values
- E_form (eV per formula unit) = 5.22

```
data_TaCuRh3
_chemical_formula_sum 'Ta1 Cu1 Rh3'
_space_group_name_H-M_alt 'P m -3 m'
_space_group_IT_number 221
_space_group_name_Hall '-P 4 2 3'
_cell_length_a 4.707
_cell_length_b 4.707
_cell_length_c 4.707
_cell_angle_alpha 90.00
_cell_angle_beta 90.00
_cell_angle_gamma 90.00
loop_
_atom_site_label
_atom_site_type_symbol
_atom_site_fract_x
_atom_site_fract_y
_atom_site_fract_z
Ta1 Ta 0.000 0.000 0.000
Cu1 Cu 0.500 0.500 0.500
Rh1 Rh 0.000 0.000 0.500
```

Record 6
Density functional theory data (PBE) for a geometry-optimized La2BeTl structure.

Calculated values
- E_form (eV per formula unit) = 0.61

```
data_La2BeTl
_chemical_formula_sum 'La4 Be2 Tl2'
_space_group_name_H-M_alt 'C 1 2/m 1'
_space_group_IT_number 12
_space_group_name_Hall '-C 2y'
_cell_length_a 9.256
_cell_length_b 3.825
_cell_length_c 7.063
_cell_angle_alpha 90.00
_cell_angle_beta 102.98
_cell_angle_gamma 90.00
loop_
_atom_site_label
_atom_site_type_symbol
_atom_site_fract_x
_atom_site_fract_y
_atom_site_fract_z
La1 La 0.239 0.000 0.214
Be1 Be 0.000 0.500 0.000
Tl1 Tl 0.000 0.000 0.500
```

Record 7
Density functional theory data (PBE) for a geometry-optimized LiZr2Ni structure.

Calculated values
- E_form (eV per formula unit) = 0.52

```
data_LiZr2Ni
_chemical_formula_sum 'Li3 Zr6 Ni3'
_space_group_name_H-M_alt 'R -3 m'
_space_group_IT_number 166
_space_group_name_Hall '-R 3 2"'
_cell_length_a 3.0900
_cell_length_b 3.0900
_cell_length_c 28.0714
_cell_angle_alpha 90.00
_cell_angle_beta 90.00
_cell_angle_gamma 120.00
loop_
_atom_site_label
_atom_site_type_symbol
_atom_site_fract_x
_atom_site_fract_y
_atom_site_fract_z
Li1 Li 0.0000 0.0000 0.0000
Zr1 Zr 0.0000 0.0000 0.2392
Ni1 Ni 0.0000 0.0000 0.5000
```

Record 8
Density functional theory data (PBE) for a geometry-optimized La5GeTe2Cl structure.

Calculated values
- ΔE_f (raw) (eV per atom) = -1.195

```
data_La5GeTe2Cl
_chemical_formula_sum 'La20 Ge4 Te8 Cl4'
_space_group_name_H-M_alt 'C m c 21'
_space_group_IT_number 36
_space_group_name_Hall 'C 2c -2'
_cell_length_a 4.321
_cell_length_b 18.732
_cell_length_c 14.100
_cell_angle_alpha 90.00
_cell_angle_beta 90.00
_cell_angle_gamma 90.00
loop_
_atom_site_label
_atom_site_type_symbol
_atom_site_fract_x
_atom_site_fract_y
_atom_site_fract_z
La1 La 0.000 0.008 0.000
La2 La 0.000 0.129 0.244
La3 La 0.000 0.184 0.618
La4 La 0.000 0.217 0.910
La5 La 0.000 0.441 0.325
Ge1 Ge 0.000 0.288 0.260
Te1 Te 0.000 0.363 0.558
Te2 Te 0.000 0.390 0.928
Cl1 Cl 0.000 0.031 0.692
```

no.,electronic total energy (eV for the cell shown)
1,-43.593
2,-107.440
3,-106.467
4,-38.776
5,-32.779
6,-30.677
7,-72.804
8,-192.548